No. 1
Material: NpScGe2
Method: DFT, GGA-PBE
State: optimized geometry

ΔE_f = -0.32 eV per atom
SG = P4/mmm

Cell: 3.9466 4.5513 4.5513 Å, 90.00 90.00 90.00°
With the nearest neighbours (Å) after each atom.
Positions (direct):
1 Np 0.5000 0.0000 0.0000  8 Ge 3.01, 4 Sc 3.22
2 Sc 0.5000 0.5000 0.5000  8 Ge 3.01, 4 Np 3.22
3 Ge 0.0000 0.0000 0.5000  4 Np 3.01, 4 Sc 3.01, 4 Ge 3.22
4 Ge 0.0000 0.5000 0.0000  4 Np 3.01, 4 Sc 3.01, 4 Ge 3.22

---

No. 2
Material: Nd5ThPb4
Method: DFT, GGA-PBE
State: optimized geometry

ΔE_f = -0.32 eV per atom
SG = C2/m

Cell: 5.6028 7.2834 11.4236 Å, 129.03 104.20 90.00°
With the nearest neighbours (Å) after each atom.
Positions (direct):
1 Nd 0.8338 0.6739 0.6676  5 Pb 3.24-3.46, 1 Nd 3.53
2 Nd 0.8334 0.1572 0.6668  5 Pb 3.25-3.40, 1 Nd 3.53
3 Nd 0.1666 0.8428 0.3332  5 Pb 3.25-3.40, 1 Nd 3.53
4 Nd 0.5000 0.5000 0.0000  6 Pb 3.33-3.49, 2 Th 3.64
5 Nd 0.1662 0.3261 0.3324  5 Pb 3.24-3.46, 1 Nd 3.53
6 Th 0.5000 0.0000 0.0000  6 Pb 3.35-3.45, 2 Nd 3.64
7 Pb 0.3246 0.8982 0.6491  7 Nd 3.25-3.49, 1 Th 3.45
8 Pb 0.9917 0.7312 0.9833  6 Nd 3.24-3.46, 2 Th 3.35, 1 Pb 3.62
9 Pb 0.6754 0.1018 0.3509  7 Nd 3.25-3.49, 1 Th 3.45
10 Pb 0.0083 0.2688 0.0167  6 Nd 3.24-3.46, 2 Th 3.35, 1 Pb 3.62

---

No. 3
Material: Mg2IrPt
Method: DFT, GGA-PBE
State: optimized geometry

ΔE_f = 0.21 eV per atom
SG = Immm

Cell: 5.8335 5.8335 5.8335 Å, 57.91 152.17 130.31°
With the nearest neighbours (Å) after each atom.
Positions (direct):
1 Mg 0.0000 0.2511 0.2511  1 Pt 2.54, 1 Ir 2.56, 6 Mg 2.81-2.82
2 Mg 0.0000 0.7489 0.7489  1 Pt 2.54, 1 Ir 2.56, 6 Mg 2.81-2.82
3 Ir 0.0000 0.0000 0.0000  2 Mg 2.56, 2 Ir 2.81, 4 Pt 2.82
4 Pt 0.0000 0.5000 0.5000  2 Mg 2.54, 2 Pt 2.81, 4 Ir 2.82

---

No. 4
Material: Nb2MoBr
Method: DFT, GGA-PBE
State: optimized geometry

Energy relative to the elements, uncorrected = 0.71 eV/atom
SG = Fm-3m

Cell: 4.6504 4.6504 4.6504 Å, 60.00 60.00 60.00°
With the nearest neighbours (Å) after each atom.
Positions (direct):
1 Mo 0.5000 0.5000 0.5000  8 Nb 2.85
2 Nb 0.2500 0.2500 0.2500  4 Mo 2.85, 4 Br 2.85
3 Nb 0.7500 0.7500 0.7500  4 Mo 2.85, 4 Br 2.85
4 Br 0.0000 0.0000 0.0000  8 Nb 2.85